1.
This record from the Alexandria database describes ZrAl2Te at its PBEsol-relaxed geometry. The functional is meta-GGA SCAN.

Cell: 5.7445 6.1977 6.1977 Å, 77.60 62.39 62.39°
With the nearest neighbours (Å) after each atom.
Atoms (fractional coordinates):
Al  0.3750  0.5061  0.9939  2 Te 2.81, 2 Zr 2.87, 2 Al 2.87
Al  0.1189  0.0061  0.5061  2 Te 2.81, 2 Zr 2.87, 2 Al 2.87
Al  0.8750  0.4939  0.0061  2 Te 2.81, 2 Zr 2.87, 2 Al 2.87
Al  0.6311  0.9939  0.4939  2 Te 2.81, 2 Zr 2.87, 2 Al 2.87
Te  0.7500  0.5000  0.5000  4 Al 2.81, 2 Zr 2.87
Te  0.0000  0.0000  0.0000  4 Al 2.81, 2 Zr 2.87
Zr  0.2500  0.5000  0.5000  4 Al 2.87, 2 Te 2.87
Zr  0.5000  0.0000  0.0000  4 Al 2.87, 2 Te 2.87

**E_form (uncorrected)**: 0.089 eV/atom
**V**: 21.658 Å³/atom
**Mass density**: 5.23 Mg/m³

2.
This record from the Alexandria database describes Er16In4Ir4O at its PBEsol-relaxed geometry. The functional is meta-GGA SCAN.

Cell: 9.3936 9.3936 9.3936 Å, 60.00 60.00 60.00°
With the nearest neighbours (Å) after each atom.
Atoms (fractional coordinates):
In  0.8331  0.5007  0.8331  3 In 3.12, 9 Er 3.14-3.37
Er  0.0582  0.4418  0.4418  2 Ir 2.74
Er  0.8156  0.8156  0.1844  1 O 2.45
Er  0.8156  0.1844  0.8156  1 O 2.45
In  0.8331  0.8331  0.5007  3 In 3.12, 9 Er 3.14-3.37
Ir  0.3914  0.3914  0.8258  6 Er 2.74-2.77
Er  0.2013  0.5996  0.5996  3 Ir 2.77
Er  0.4418  0.0582  0.4418  2 Ir 2.74
Ir  0.8258  0.3914  0.3914  6 Er 2.74-2.77
Er  0.8156  0.1844  0.1844  1 O 2.45
In  0.5007  0.8331  0.8331  3 In 3.12, 9 Er 3.14-3.37
O  0.0000  0.0000  0.0000  6 Er 2.45
Er  0.0582  0.4418  0.0582  2 Ir 2.74
In  0.8331  0.8331  0.8331  3 In 3.12, 9 Er 3.14-3.37
Er  0.5996  0.5996  0.5996  3 Ir 2.77
Er  0.0582  0.0582  0.4418  2 Ir 2.74
Ir  0.3914  0.8258  0.3914  6 Er 2.74-2.77
Er  0.1844  0.8156  0.8156  1 O 2.45
Er  0.4418  0.0582  0.0582  2 Ir 2.74
Er  0.4418  0.4418  0.0582  2 Ir 2.74
Er  0.5996  0.2013  0.5996  3 Ir 2.77
Er  0.1844  0.1844  0.8156  1 O 2.45
Er  0.1844  0.8156  0.1844  1 O 2.45
Ir  0.3914  0.3914  0.3914  6 Er 2.74-2.77
Er  0.5996  0.5996  0.2013  3 Ir 2.77

**E_form (uncorrected)**: -0.978 eV/atom
**V**: 23.445 Å³/atom
**Mass density**: 11.11 Mg/m³

3.
This record from the Alexandria database describes IrOs2Pt at its PBEsol-relaxed geometry. The functional is meta-GGA SCAN.

Cell: 2.7165 2.7165 9.0721 Å, 81.39 81.39 60.00°
With the nearest neighbours (Å) after each atom.
Atoms (fractional coordinates):
Ir  0.2525  0.2525  0.2424  3 Os 2.69, 6 Ir 2.72, 3 Pt 2.80
Os  0.0009  0.0009  0.9973  9 Os 2.65-2.72, 3 Ir 2.69
Pt  0.4993  0.4993  0.5022  6 Pt 2.72, 3 Os 2.77, 3 Ir 2.80
Os  0.7473  0.7473  0.7581  9 Os 2.65-2.72, 3 Pt 2.77

**V**: 14.276 Å³/atom
**Mass density**: 22.33 Mg/m³
**Formation energy from the elements**: 0.08 eV/atom
**Distance to the lowest polymorph of the same formula**: 0 meV/atom

4.
This record from the Alexandria database describes In2HgSe at its PBEsol-relaxed geometry. The functional is meta-GGA SCAN.

Cell: 3.8508 3.9503 7.3498 Å, 105.59 105.19 90.00°
With the nearest neighbours (Å) after each atom.
Atoms (fractional coordinates):
In  0.0400  0.0400  0.0800  4 Se 3.00, 2 Hg 3.03
Se  0.4536  0.4536  0.9073  6 In 2.87-3.00
Hg  0.2090  0.7090  0.4180  6 In 3.01-3.03
In  0.7974  0.2974  0.5948  2 Se 2.87, 4 Hg 3.01

**E_form (uncorrected)**: -0.182 eV/atom
**V**: 25.908 Å³/atom
**Mass density**: 8.16 Mg/m³
**Distance to the lowest polymorph of the same formula**: 100 meV/atom

Which of these has the highest V? In2HgSe

Which of these has the highest V? In2HgSe

mass density of number 1 (ZrAl2Te)? 5.23 Mg/m³

Which value of V does entry 4 give? 25.908 Å³/atom